# ScFeAs

A relaxed ScFeAs crystal (PBE, the Open Quantum Materials Database).

Cell: 5.2054 5.2054 5.2265 Å, 90.00 90.00 134.02°
With the nearest neighbours (Å) after each atom.
Atoms (fractional coordinates):
As 0.6224 0.3776 0.3419  3 Fe 2.35-2.41
Sc 0.9089 0.0911 0.4779  5 Fe 2.75-2.95, 5 As 2.80-2.97
Sc 0.0911 0.9089 0.9779  5 Fe 2.75-2.95, 5 As 2.80-2.97
As 0.3776 0.6224 0.8419  3 Fe 2.35-2.41
Fe 0.2092 0.7908 0.4992  3 As 2.35-2.41
Fe 0.7908 0.2092 0.9992  3 As 2.35-2.41

Properties
**Symmetry**: Cmc2_1
**VASP energy**: -41.33 eV for the cell shown
**Total magnetization**: 1.6 μB/f.u.